1.
A plane-wave DFT calculation with PBE was carried out for an optimized crystal structure of Ba3Br2.

POSCAR file:
```
Ba3Br2
1.0
9.130 -4.965 -0.797
4.621 -5.056 5.888
0.829 -7.176 -3.587
Ba Br
6 4
Cartesian
9.686 -8.427 3.182
5.140 -8.285 -1.884
4.976 -8.791 2.863
8.009 -11.555 -0.016
3.051 -5.472 0.876
8.536 -6.138 -0.297
6.938 -10.879 -3.111
7.071 -7.446 5.097
7.455 -11.027 3.283
4.713 -10.932 0.252
```

Offset from the most stable computed form: 0.043 eV per atom
Electronic total energy: -3.00 eV per atom
Raw formation energy: -5.89 eV per formula unit
Space-group type: No. 43
Total magnetization: 3.455 Bohr magnetons per cell


2.
A plane-wave DFT calculation with PBE was carried out for an optimized crystal structure of Ba3Br.

POSCAR file:
```
Ba3Br
1.0
-7.723 5.362 8.153
-6.883 1.498 10.259
-4.048 4.941 10.680
Ba Br
3 1
Cartesian
-13.644 8.632 21.279
-9.327 5.900 14.546
-5.010 3.169 7.813
0.000 0.000 0.000
```

Offset from the most stable computed form: 0.000 eV per atom
Electronic total energy: -2.61 eV per atom
Raw formation energy: -3.02 eV per formula unit
Space-group type: No. 166
Total magnetization: 0.489 Bohr magnetons per cell


3.
A plane-wave DFT calculation with PBE was carried out for an optimized crystal structure of Ba2Br.

POSCAR file:
```
Ba2Br
1.0
9.559 0.006 0.000
-8.511 4.353 0.000
0.000 0.000 6.974
Ba Br
4 2
Cartesian
-7.678 4.152 0.000
-2.520 2.912 0.000
-0.447 2.413 3.487
4.711 1.173 3.487
3.931 1.360 0.000
-6.898 3.965 3.487
```

Offset from the most stable computed form: 0.006 eV per atom
Electronic total energy: -2.85 eV per atom
Raw formation energy: -3.03 eV per formula unit
Space-group type: No. 63
Total magnetization: 0.911 Bohr magnetons per cell


4.
A plane-wave DFT calculation with PBE was carried out for an optimized crystal structure of Ba2Br.

POSCAR file:
```
Ba2Br
1.0
-2.112 2.187 16.213
2.112 -2.187 16.213
2.112 2.187 -16.213
Ba Br
4 2
Cartesian
2.112 -1.094 14.373
0.000 3.281 1.840
0.000 1.094 6.157
2.112 1.094 10.055
0.000 1.094 20.823
2.112 1.094 -4.610
```

Offset from the most stable computed form: 0.133 eV per atom
Electronic total energy: -2.72 eV per atom
Raw formation energy: -2.65 eV per formula unit
Space-group type: No. 74
Total magnetization: 1.136 Bohr magnetons per cell


5.
A plane-wave DFT calculation with PBE was carried out for an optimized crystal structure of Ba2Br.

POSCAR file:
```
Ba2Br
1.0
2.072 8.336 -0.158
-2.072 8.336 -0.158
0.000 2.260 7.933
Ba Br
4 2
Cartesian
0.000 14.459 0.277
0.000 3.344 3.373
0.000 4.474 7.340
0.000 15.589 4.244
0.000 10.030 5.793
0.000 8.903 1.824
```

Offset from the most stable computed form: 0.104 eV per atom
Electronic total energy: -2.75 eV per atom
Raw formation energy: -2.73 eV per formula unit
Space-group type: No. 12
Total magnetization: 0.000 Bohr magnetons per cell


6.
A plane-wave DFT calculation with PBE was carried out for an optimized crystal structure of Ba4Br.

POSCAR file:
```
Ba4Br
1.0
7.641 -2.721 -1.245
-7.879 -1.507 1.730
-1.426 1.314 -7.974
Ba Br
4 1
Cartesian
2.162 -2.471 -1.749
0.471 -0.652 -5.449
-3.825 -0.443 -5.740
-2.134 -2.263 -2.040
0.000 0.000 0.000
```

Offset from the most stable computed form: 0.035 eV per atom
Electronic total energy: -2.38 eV per atom
Raw formation energy: -2.53 eV per formula unit
Space-group type: No. 87
Total magnetization: 0.000 Bohr magnetons per cell


7.
A plane-wave DFT calculation with PBE was carried out for an optimized crystal structure of Ba3Br.

POSCAR file:
```
Ba3Br
1.0
-0.448 4.864 -4.645
-6.035 1.877 -2.344
-2.536 6.021 1.658
Ba Br
3 1
Cartesian
0.000 0.000 0.000
-2.255 3.190 -1.333
-4.509 6.381 -2.665
-6.764 9.571 -3.998
```

Offset from the most stable computed form: 0.523 eV per atom
Electronic total energy: -2.09 eV per atom
Raw formation energy: -0.92 eV per formula unit
Space-group type: No. 225
Total magnetization: 0.012 Bohr magnetons per cell


8.
A plane-wave DFT calculation with PBE was carried out for an optimized crystal structure of Ba3Br.

POSCAR file:
```
Ba3Br
1.0
-3.433 -2.109 6.959
-7.749 -2.049 -0.645
7.681 -1.523 -1.827
Ba Br
3 1
Cartesian
-7.777 -2.892 4.391
-3.405 -1.266 1.922
-0.034 -1.786 -1.236
2.124 -1.816 2.566
```

Offset from the most stable computed form: 0.120 eV per atom
Electronic total energy: -2.49 eV per atom
Raw formation energy: -2.54 eV per formula unit
Space-group type: No. 71
Total magnetization: 0.002 Bohr magnetons per cell


9.
A plane-wave DFT calculation with PBE was carried out for an optimized crystal structure of Ba2Br.

POSCAR file:
```
Ba2Br
1.0
-3.134 4.214 -2.163
-3.290 -0.070 4.630
2.476 2.766 1.801
Ba Br
2 1
Cartesian
-0.407 1.348 3.216
-0.329 3.490 -0.181
0.000 0.000 0.000
```

Offset from the most stable computed form: 0.246 eV per atom
Electronic total energy: -2.61 eV per atom
Raw formation energy: -2.31 eV per formula unit
Space-group type: No. 123
Total magnetization: 0.857 Bohr magnetons per cell


10.
A plane-wave DFT calculation with PBE was carried out for an optimized crystal structure of Ba2Br.

POSCAR file:
```
Ba2Br
1.0
6.273 -2.053 -2.478
-0.865 6.945 0.850
-0.634 -2.873 6.407
Ba Br
4 2
Cartesian
0.459 0.512 3.065
4.314 1.507 1.715
3.520 -2.608 3.859
1.253 4.627 0.920
4.056 3.669 -1.221
1.352 1.223 -0.407
```

Offset from the most stable computed form: 0.062 eV per atom
Electronic total energy: -2.79 eV per atom
Raw formation energy: -2.86 eV per formula unit
Space-group type: No. 140
Total magnetization: 2.135 Bohr magnetons per cell


11.
A plane-wave DFT calculation with PBE was carried out for an optimized crystal structure of Ba3Br5.

POSCAR file:
```
Ba3Br5
1.0
-3.236 -9.021 0.052
8.906 3.530 -0.287
-2.537 2.693 8.845
Ba Br
6 10
Cartesian
4.256 -4.117 -0.176
-1.116 1.321 8.786
-1.033 -1.239 4.397
4.163 -1.544 4.213
3.273 3.103 6.945
-0.145 -5.886 1.665
4.601 1.745 4.221
-1.470 -4.530 4.389
-4.059 -4.513 7.742
7.199 1.717 0.867
2.156 -3.555 2.417
0.983 0.761 6.193
-1.484 -1.852 7.670
4.625 -0.944 0.939
0.859 0.781 2.491
2.280 -3.575 6.118
```

Offset from the most stable computed form: 0.007 eV per atom
Electronic total energy: -3.73 eV per atom
Raw formation energy: -15.75 eV per formula unit
Space-group type: No. 8
Total magnetization: 0.638 Bohr magnetons per cell


12.
A plane-wave DFT calculation with PBE was carried out for an optimized crystal structure of BaCBr.

POSCAR file:
```
BaCBr
1.0
8.168 0.000 0.000
-4.084 4.144 0.000
0.000 0.000 10.356
C Ba Br
4 4 4
Cartesian
4.084 2.849 2.920
4.084 1.295 8.098
0.000 1.295 7.436
0.000 2.849 2.258
2.042 0.783 2.589
-2.042 3.362 7.767
2.042 3.362 7.767
6.126 0.783 2.589
4.084 2.230 4.908
4.084 1.914 10.086
0.000 1.914 5.448
0.000 2.230 0.270
```

Electronic total energy: -3.87 eV per atom
Raw formation energy: 1.21 eV per formula unit
Space-group type: No. 64
Total magnetization: 4.056 Bohr magnetons per cell


13.
A plane-wave DFT calculation with PBE was carried out for an optimized crystal structure of Ba3CBr.

POSCAR file:
```
Ba3CBr
1.0
5.811 0.000 0.000
0.000 5.811 0.000
0.000 0.000 5.811
C Ba Br
1 3 1
Cartesian
0.000 0.000 0.000
0.000 2.905 0.000
0.000 0.000 2.905
2.905 0.000 0.000
2.905 2.905 2.905
```

Offset from the most stable computed form: 0.000 eV per atom
Electronic total energy: -3.41 eV per atom
Raw formation energy: -0.37 eV per formula unit
Space-group type: No. 221
Total magnetization: 0.000 Bohr magnetons per cell


14.
A plane-wave DFT calculation with PBE was carried out for an optimized crystal structure of BaC2Br.

POSCAR file:
```
BaC2Br
1.0
0.169 -1.536 4.595
-1.010 3.064 3.619
-4.099 -0.513 2.537
C Ba Br
2 1 1
Cartesian
-1.235 0.254 2.688
-3.705 0.762 8.063
-2.470 0.508 5.375
0.000 0.000 0.000
```

Offset from the most stable computed form: 0.226 eV per atom
Electronic total energy: -3.37 eV per atom
Raw formation energy: 8.58 eV per formula unit
Space-group type: No. 225
Total magnetization: 1.772 Bohr magnetons per cell


15.
A plane-wave DFT calculation with PBE was carried out for an optimized crystal structure of BaC2Br.

POSCAR file:
```
BaC2Br
1.0
-6.559 0.461 1.018
-1.087 -4.049 -5.167
-3.681 -4.646 0.130
C Ba Br
4 2 2
Cartesian
-4.522 -1.424 -0.075
-3.053 -3.590 -2.971
-5.733 -5.221 -1.957
-9.346 -6.232 -3.033
0.000 0.000 0.000
-7.032 -2.989 -0.463
-3.823 -1.794 -2.074
-4.296 -5.244 -3.555
```

Offset from the most stable computed form: 0.000 eV per atom
Electronic total energy: -3.59 eV per atom
Raw formation energy: 7.67 eV per formula unit
Space-group type: No. 122
Total magnetization: 0.000 Bohr magnetons per cell


16.
A plane-wave DFT calculation with PBE was carried out for an optimized crystal structure of Ba2IrCBr.

POSCAR file:
```
Ba2IrCBr
1.0
-2.330 5.278 1.326
-3.893 -0.609 -4.417
-2.509 -1.723 2.449
C Ir Ba Br
1 1 2 1
Cartesian
0.000 0.000 0.000
-1.255 -0.862 1.225
-1.947 -0.304 -2.209
-1.165 2.639 0.663
-4.366 1.473 -0.321
```

Electronic total energy: -5.43 eV per atom
Raw formation energy: -3.55 eV per formula unit
Space-group type: No. 123
Total magnetization: 0.000 Bohr magnetons per cell


17.
A plane-wave DFT calculation with PBE was carried out for an optimized crystal structure of KBa2CBr.

POSCAR file:
```
KBa2CBr
1.0
6.251 0.000 0.000
0.000 6.251 0.000
0.000 0.000 5.790
C K Ba Br
1 1 2 1
Cartesian
3.125 3.125 2.895
0.000 0.000 2.895
0.000 3.125 0.000
3.125 0.000 0.000
0.000 0.000 0.000
```

Electronic total energy: -2.48 eV per atom
Raw formation energy: 3.43 eV per formula unit
Space-group type: No. 123
Total magnetization: 0.329 Bohr magnetons per cell


18.
A plane-wave DFT calculation with PBE was carried out for an optimized crystal structure of BaMo2CBr.

POSCAR file:
```
BaMo2CBr
1.0
6.271 0.000 0.000
0.000 4.690 0.000
0.000 0.000 6.271
C Mo Ba Br
1 2 1 1
Cartesian
0.000 2.345 0.000
0.000 0.000 3.136
3.136 0.000 0.000
0.000 0.000 0.000
3.136 2.345 3.136
```

Electronic total energy: -3.86 eV per atom
Raw formation energy: 15.18 eV per formula unit
Space-group type: No. 123
Total magnetization: 8.838 Bohr magnetons per cell


19.
A plane-wave DFT calculation with PBE was carried out for an optimized crystal structure of BaCBrN2.

POSCAR file:
```
BaCBrN2
1.0
4.930 0.000 0.000
0.000 7.747 -0.385
0.000 -0.716 6.270
Ba C Br N
2 2 2 4
Cartesian
3.697 1.486 4.236
1.232 5.545 1.649
1.232 -0.455 5.118
3.697 7.487 0.767
3.697 3.326 1.331
1.232 3.705 4.553
3.697 -0.589 6.231
1.232 7.620 -0.346
1.232 -0.023 3.976
3.697 7.055 1.909
```

Offset from the most stable computed form: 0.000 eV per atom
Electronic total energy: -6.50 eV per atom
Raw formation energy: -3.05 eV per formula unit
Space-group type: No. 11
Total magnetization: 0.321 Bohr magnetons per cell


20.
A plane-wave DFT calculation with PBE was carried out for an optimized crystal structure of BaCBrN2.

POSCAR file:
```
BaCBrN2
1.0
-0.705 -4.078 0.459
1.816 -0.991 -6.014
3.928 -0.535 1.274
C Ba Br N
1 1 1 2
Cartesian
2.519 -2.802 -2.141
0.908 -0.495 -3.007
0.000 0.000 0.000
1.964 -0.268 0.637
-0.352 -2.039 0.230
```

Offset from the most stable computed form: 3.003 eV per atom
Electronic total energy: -3.50 eV per atom
Raw formation energy: 11.96 eV per formula unit
Space-group type: No. 123
Total magnetization: 4.040 Bohr magnetons per cell